Entry from Alexandria via LeMat-Bulk: a geometry-optimized Ca2GaFeN structure (PBE).

a b c (Å): 5.0171 5.0171 3.5878
angles (deg): 90.00 90.00 90.00
Fractional positions:
Ga (0.5000, 0.5000, 0.5000)
Fe (0.0000, 0.0000, 0.5000)
N (0.0000, 0.0000, 0.0000)
Ca (0.0000, 0.5000, 0.0000)
Ca (0.5000, 0.0000, 0.0000)

Properties
Space group: P4/mmm (123)
ΔE_f (raw) in eV/atom: -0.470